Below is a relaxed structure of OsRh2, with properties calculated at the GGA-PBE level.

Unit cell a=3.834 b=8.213 c=5.424 alpha=90.00 beta=90.00 gamma=90.00
Sites, in units of the cell vectors:
Rh 0.250 0.245 0.125
Rh 0.750 0.416 0.874
Os 0.750 0.075 0.882
Rh 0.750 0.755 0.875
Rh 0.250 0.916 0.626
Rh 0.750 0.084 0.374
Os 0.750 0.425 0.382
Os 0.250 0.925 0.118
Rh 0.750 0.745 0.375
Os 0.250 0.575 0.618
Rh 0.250 0.584 0.126
Rh 0.250 0.255 0.625

Properties
Calculated volume (Å³ per atom): 14.2
Density (g/cm3): 15.4
Symmetry: No. 62
ΔH_f (0 K) (kJ per mole of atoms): 4

***

Below is a relaxed structure of Tb3ErCo2, with properties calculated at the GGA-PBE level.

Unit cell a=3.747 b=8.426 c=9.897 alpha=77.65 beta=79.09 gamma=77.15
Sites, in units of the cell vectors:
Co 0.233 0.582 0.953
Co 0.766 0.919 0.549
Tb 0.584 0.771 0.062
Er 0.840 0.572 0.749
Tb 0.160 0.927 0.753
Er 0.160 0.428 0.251
Tb 0.840 0.073 0.247
Tb 0.417 0.724 0.443
Co 0.767 0.418 0.047
Tb 0.583 0.276 0.557
Co 0.234 0.081 0.451
Tb 0.416 0.229 0.938

Properties
Calculated volume (Å³ per atom): 24.5
Density (g/cm3): 8.6
Symmetry: No. 12
ΔH_f (0 K) (kJ per mole of atoms): -15

***

Below is a relaxed structure of BaZn2CoGe, with properties calculated at the GGA-PBE level.

Unit cell a=4.809 b=4.809 c=4.574 alpha=90.00 beta=90.00 gamma=90.00
Sites, in units of the cell vectors:
Zn 0.000 0.500 0.000
Ge 0.000 0.000 0.500
Co 0.000 0.000 0.000
Zn 0.500 0.000 0.000
Ba 0.500 0.500 0.500

Properties
Calculated volume (Å³ per atom): 21.2
Density (g/cm3): 6.3
Symmetry: No. 123
ΔH_f (0 K) (kJ per mole of atoms): -23

***

Below is a relaxed structure of ZrAlCo, with properties calculated at the GGA-PBE level.

Unit cell a=4.225 b=4.225 c=3.147 alpha=90.00 beta=90.00 gamma=120.00
Last column: magnetic moment on the atom in μB.
Sites, in units of the cell vectors:
Al 0.000 0.000 0.167  0.00
Zr 0.333 0.667 0.667  -0.04
Co 0.667 0.333 0.167  0.32

Properties
Calculated volume (Å³ per atom): 16.2
Density (g/cm3): 6.0
Symmetry: No. 187
ΔH_f (0 K) (kJ per mole of atoms): -35

***

Below is a relaxed structure of Pm2SmPd2, with properties calculated at the GGA-PBE level.

Unit cell a=3.995 b=8.014 c=8.014 alpha=90.00 beta=90.00 gamma=90.00
Sites, in units of the cell vectors:
Pm 0.000 0.167 0.167
Pd 0.500 0.872 0.128
Pm 0.000 0.833 0.833
Pd 0.500 0.128 0.872
Pd 0.500 0.372 0.372
Sm 0.500 0.000 0.500
Pm 0.000 0.667 0.333
Pm 0.000 0.333 0.667
Pd 0.500 0.628 0.628
Sm 0.500 0.500 0.000

Properties
Calculated volume (Å³ per atom): 25.7
Density (g/cm3): 8.5
Symmetry: No. 127
ΔH_f (0 K) (kJ per mole of atoms): -63

***

Below is a relaxed structure of NdInBi, with properties calculated at the GGA-PBE level.

Unit cell a=4.544 b=4.544 c=9.011 alpha=90.00 beta=90.00 gamma=90.00
Sites, in units of the cell vectors:
In 0.500 0.500 0.000
Bi 0.500 0.000 0.677
In 0.000 0.000 0.000
Bi 0.000 0.500 0.323
Nd 0.000 0.500 0.686
Nd 0.500 0.000 0.314

Properties
Calculated volume (Å³ per atom): 31.0
Density (g/cm3): 8.4
Symmetry: No. 129
ΔH_f (0 K) (kJ per mole of atoms): -53